[1]
# NaLiTePd PBE relaxed
# DFT total energy	-55.6	eV/cell
# density of states at the Fermi level	0.77	states/eV per cell
data_NaLiTePd
_space_group_name_H-M_alt 'F -4 3 m'
_space_group_IT_number 216
_space_group_name_Hall 'F -4 2 3'
_cell_length_a 6.7225
_cell_length_b 6.7225
_cell_length_c 6.7225
_cell_angle_alpha 90.00
_cell_angle_beta 90.00
_cell_angle_gamma 90.00
loop_
_atom_site_label
_atom_site_fract_x
_atom_site_fract_y
_atom_site_fract_z
Na1 0.0000 0.0000 0.0000
Li1 0.2500 0.2500 0.7500
Te1 0.0000 0.0000 0.5000
Pd1 0.2500 0.2500 0.2500

***

[2]
# NaLiTlPd PBE relaxed
# DFT total energy	-46.9	eV/cell
# formation energy	-232.6	meV/atom
# density of states at the Fermi level	5.13	states/eV per cell
# excess energy over the best structure of this formula in the dataset	0.0000	eV per atom
data_NaLiTlPd
_space_group_name_H-M_alt 'F -4 3 m'
_space_group_IT_number 216
_space_group_name_Hall 'F -4 2 3'
_cell_length_a 6.7565
_cell_length_b 6.7565
_cell_length_c 6.7565
_cell_angle_alpha 90.00
_cell_angle_beta 90.00
_cell_angle_gamma 90.00
loop_
_atom_site_label
_atom_site_fract_x
_atom_site_fract_y
_atom_site_fract_z
Na1 0.0000 0.0000 0.0000
Li1 0.2500 0.2500 0.7500
Tl1 0.0000 0.0000 0.5000
Pd1 0.2500 0.2500 0.2500

***

[3]
# NaLiTl2Pd PBE relaxed
# DFT total energy	-13.8	eV/cell
# formation energy	-119.4	meV/atom
# density of states at the Fermi level	2.21	states/eV per cell
data_NaLiTl2Pd
_space_group_name_H-M_alt 'P 4/m m m'
_space_group_IT_number 123
_space_group_name_Hall '-P 4 2'
_cell_length_a 5.3141
_cell_length_b 5.3141
_cell_length_c 4.9155
_cell_angle_alpha 90.00
_cell_angle_beta 90.00
_cell_angle_gamma 90.00
loop_
_atom_site_label
_atom_site_fract_x
_atom_site_fract_y
_atom_site_fract_z
Na1 0.0000 0.0000 0.0000
Li1 0.5000 0.5000 0.0000
Tl1 0.0000 0.5000 0.5000
Pd1 0.5000 0.5000 0.5000

***

[4]
# NaLiTlPd PBE relaxed
# DFT total energy	-23.3	eV/cell
# formation energy	-218.9	meV/atom
# density of states at the Fermi level	1.71	states/eV per cell
# excess energy over the best structure of this formula in the dataset	0.0137	eV per atom
data_NaLiTlPd
_space_group_name_H-M_alt 'C 1 m 1'
_space_group_IT_number 8
_cell_length_a 9.2001
_cell_length_b 4.4230
_cell_length_c 4.2898
_cell_angle_alpha 90.00
_cell_angle_beta 117.70
_cell_angle_gamma 90.00
loop_
_space_group_symop_operation_xyz
'x,y,z'
'x,-y,z'
'x+1/2,y+1/2,z'
'x+1/2,-y+1/2,z'
loop_
_atom_site_label
_atom_site_fract_x
_atom_site_fract_y
_atom_site_fract_z
Na1 0.0000 0.0000 0.0000
Li1 0.2519 0.0000 0.7523
Tl1 0.2456 0.5000 0.2461
Pd1 0.4923 0.0000 0.4925

***

[5]
# NaLi2TlPd PBE relaxed
# DFT total energy	-13.4	eV/cell
# formation energy	-148.3	meV/atom
# density of states at the Fermi level	2.24	states/eV per cell
data_NaLi2TlPd
_space_group_name_H-M_alt 'P 4/m m m'
_space_group_IT_number 123
_space_group_name_Hall '-P 4 2'
_cell_length_a 4.8723
_cell_length_b 4.8723
_cell_length_c 5.2843
_cell_angle_alpha 90.00
_cell_angle_beta 90.00
_cell_angle_gamma 90.00
loop_
_atom_site_label
_atom_site_fract_x
_atom_site_fract_y
_atom_site_fract_z
Na1 0.0000 0.0000 0.0000
Li1 0.0000 0.5000 0.5000
Tl1 0.5000 0.5000 0.0000
Pd1 0.5000 0.5000 0.5000

***

[6]
# NaLiTl4Pd2 PBE relaxed
# DFT total energy	-73.7	eV/cell
# formation energy	-186.9	meV/atom
# density of states at the Fermi level	5.80	states/eV per cell
data_NaLiTl4Pd2
_space_group_name_H-M_alt 'R -3 m'
_space_group_IT_number 166
_space_group_name_Hall '-R 3 2"'
_cell_length_a 4.9172
_cell_length_b 4.9172
_cell_length_c 24.1264
_cell_angle_alpha 90.00
_cell_angle_beta 90.00
_cell_angle_gamma 120.00
loop_
_atom_site_label
_atom_site_fract_x
_atom_site_fract_y
_atom_site_fract_z
Na1 0.0000 0.0000 0.0000
Li1 0.0000 0.0000 0.5000
Tl1 0.0000 0.0000 0.1272
Tl2 0.0000 0.0000 0.3794
Pd1 0.0000 0.0000 0.2497